(1)
VASP calculation (PBE) on a geometry-optimized CaInOs structure.

Values from the calculation:
Crystal system: cubic
Density of states at the Fermi level (states/eV/cell): 28.365
Formation enthalpy at 0 K (kcal/mol of atoms): 28.3
Symmetry: F-43m

Cell lengths 6.7402, 6.7402, 6.7402 Å; angles 90.00, 90.00, 90.00 degrees
Sites, in units of the cell vectors:
1 Ca 0.0000 0.0000 0.0000
2 Ca 0.0000 0.5000 0.5000
3 Ca 0.5000 0.0000 0.5000
4 Ca 0.5000 0.5000 0.0000
5 In 0.2500 0.2500 0.2500
6 In 0.2500 0.7500 0.7500
7 In 0.7500 0.2500 0.7500
8 In 0.7500 0.7500 0.2500
9 Os 0.2500 0.2500 0.7500
10 Os 0.2500 0.7500 0.2500
11 Os 0.7500 0.2500 0.2500
12 Os 0.7500 0.7500 0.7500

(2)
VASP calculation (PBE) on a geometry-optimized Ca2InOs structure.

Values from the calculation:
Crystal system: tetragonal
Density of states at the Fermi level (states/eV/cell): 2.818
Formation enthalpy at 0 K (kcal/mol of atoms): 3.9
Symmetry: P4mm

Cell lengths 3.5564, 3.5564, 8.2613 Å; angles 90.00, 90.00, 90.00 degrees
Sites, in units of the cell vectors:
1 Ca 0.0000 0.0000 0.0000
2 Ca 0.5000 0.5000 0.3901
3 In 0.0000 0.0000 0.6328
4 Os 0.5000 0.5000 0.7776

(3)
VASP calculation (PBE) on a geometry-optimized CaIn2Os structure.

Values from the calculation:
Crystal system: tetragonal
Density of states at the Fermi level (states/eV/cell): 2.206
Formation enthalpy at 0 K (kcal/mol of atoms): 6.4
Symmetry: P4/mmm

Cell lengths 4.3557, 4.3557, 4.4061 Å; angles 90.00, 90.00, 90.00 degrees
Sites, in units of the cell vectors:
1 Ca 0.0000 0.0000 0.0000
2 In 0.0000 0.5000 0.5000
3 In 0.5000 0.0000 0.5000
4 Os 0.5000 0.5000 0.0000

(4)
VASP calculation (PBE) on a geometry-optimized CaInOs2 structure.

Values from the calculation:
Crystal system: tetragonal
Density of states at the Fermi level (states/eV/cell): 12.841
Formation enthalpy at 0 K (kcal/mol of atoms): 16.1
Symmetry: I4/mmm

Cell lengths 4.1072, 4.1072, 8.6548 Å; angles 90.00, 90.00, 90.00 degrees
Sites, in units of the cell vectors:
1 Ca 0.0000 0.0000 0.0000
2 Ca 0.5000 0.5000 0.5000
3 In 0.0000 0.0000 0.5000
4 In 0.5000 0.5000 0.0000
5 Os 0.0000 0.5000 0.2500
6 Os 0.0000 0.5000 0.7500
7 Os 0.5000 0.0000 0.2500
8 Os 0.5000 0.0000 0.7500

(5)
VASP calculation (PBE) on a geometry-optimized CaInOs structure.

Values from the calculation:
Crystal system: trigonal
Density of states at the Fermi level (states/eV/cell): 2.444
Formation enthalpy at 0 K (kcal/mol of atoms): 7.8
Symmetry: P3m1

Cell lengths 4.9449, 4.9449, 2.9090 Å; angles 90.00, 90.00, 120.00 degrees
Sites, in units of the cell vectors:
1 Ca 0.0000 0.0000 0.0000
2 In 0.6667 0.3333 0.5017
3 Os 0.3333 0.6667 0.4979

(6)
VASP calculation (PBE) on a geometry-optimized Ca2InOs structure.

Values from the calculation:
Crystal system: cubic
Density of states at the Fermi level (states/eV/cell): 19.139
Formation enthalpy at 0 K (kcal/mol of atoms): 5.6
Symmetry: F-43m

Cell lengths 7.0735, 7.0735, 7.0735 Å; angles 90.00, 90.00, 90.00 degrees
Sites, in units of the cell vectors:
1 Ca 0.0000 0.0000 0.0000
2 Ca 0.0000 0.5000 0.5000
3 Ca 0.2500 0.2500 0.2500
4 Ca 0.2500 0.7500 0.7500
5 Ca 0.5000 0.0000 0.5000
6 Ca 0.5000 0.5000 0.0000
7 Ca 0.7500 0.2500 0.7500
8 Ca 0.7500 0.7500 0.2500
9 In 0.2500 0.2500 0.7500
10 In 0.2500 0.7500 0.2500
11 In 0.7500 0.2500 0.2500
12 In 0.7500 0.7500 0.7500
13 Os 0.0000 0.0000 0.5000
14 Os 0.0000 0.5000 0.0000
15 Os 0.5000 0.0000 0.0000
16 Os 0.5000 0.5000 0.5000

(7)
VASP calculation (PBE) on a geometry-optimized CaIn2Os structure.

Values from the calculation:
Crystal system: tetragonal
Density of states at the Fermi level (states/eV/cell): 9.914
Formation enthalpy at 0 K (kcal/mol of atoms): 12.2
Symmetry: I-42d

Cell lengths 4.4291, 4.4291, 19.8514 Å; angles 90.00, 90.00, 90.00 degrees
Sites, in units of the cell vectors:
1 Ca 0.0000 0.0000 0.0000
2 Ca 0.0000 0.5000 0.2500
3 Ca 0.5000 0.0000 0.7500
4 Ca 0.5000 0.5000 0.5000
5 In 0.2007 0.2500 0.6250
6 In 0.2500 0.7007 0.8750
7 In 0.2500 0.7993 0.3750
8 In 0.2993 0.2500 0.1250
9 In 0.7007 0.7500 0.1250
10 In 0.7500 0.2007 0.3750
11 In 0.7500 0.2993 0.8750
12 In 0.7993 0.7500 0.6250
13 Os 0.0000 0.0000 0.5000
14 Os 0.0000 0.5000 0.7500
15 Os 0.5000 0.0000 0.2500
16 Os 0.5000 0.5000 0.0000

(8)
VASP calculation (PBE) on a geometry-optimized Ca2InOs structure.

Values from the calculation:
Crystal system: tetragonal
Density of states at the Fermi level (states/eV/cell): 5.239
Formation enthalpy at 0 K (kcal/mol of atoms): 5.2
Symmetry: I-4m2

Cell lengths 4.6070, 4.6070, 8.4225 Å; angles 90.00, 90.00, 90.00 degrees
Sites, in units of the cell vectors:
1 Ca 0.0000 0.0000 0.0000
2 Ca 0.0000 0.5000 0.2500
3 Ca 0.5000 0.0000 0.7500
4 Ca 0.5000 0.5000 0.5000
5 In 0.0000 0.5000 0.7500
6 In 0.5000 0.0000 0.2500
7 Os 0.0000 0.0000 0.5000
8 Os 0.5000 0.5000 0.0000

(9)
VASP calculation (PBE) on a geometry-optimized CaIn2Os structure.

Values from the calculation:
Crystal system: orthorhombic
Density of states at the Fermi level (states/eV/cell): 6.017
Formation enthalpy at 0 K (kcal/mol of atoms): 3.4
Symmetry: Imm2

Cell lengths 3.2054, 4.4521, 13.8639 Å; angles 90.00, 90.00, 90.00 degrees
Sites, in units of the cell vectors:
1 Ca 0.0000 0.0000 0.0000
2 Ca 0.5000 0.5000 0.5000
3 In 0.0000 0.0000 0.3500
4 In 0.0000 0.5000 0.1782
5 In 0.5000 0.0000 0.6782
6 In 0.5000 0.5000 0.8500
7 Os 0.0000 0.5000 0.6843
8 Os 0.5000 0.0000 0.1843

(10)
VASP calculation (PBE) on a geometry-optimized CaInOs2 structure.

Values from the calculation:
Crystal system: orthorhombic
Density of states at the Fermi level (states/eV/cell): 4.314
Formation enthalpy at 0 K (kcal/mol of atoms): 13.7
Symmetry: Pmmm

Cell lengths 2.9160, 4.3623, 6.1198 Å; angles 90.00, 90.00, 90.00 degrees
Sites, in units of the cell vectors:
1 Ca 0.0000 0.0000 0.0000
2 In 0.0000 0.0000 0.5000
3 Os 0.5000 0.5000 0.3025
4 Os 0.5000 0.5000 0.6975

(11)
VASP calculation (PBE) on a geometry-optimized CaIn2Os structure.

Values from the calculation:
Crystal system: monoclinic
Density of states at the Fermi level (states/eV/cell): 1.776
Formation enthalpy at 0 K (kcal/mol of atoms): 3.2
Symmetry: C2/m

Cell lengths 9.4977, 3.5785, 5.4547 Å; angles 90.00, 105.75, 90.00 degrees
Sites, in units of the cell vectors:
1 Ca 0.0000 0.0000 0.0000
2 Ca 0.5000 0.5000 0.0000
3 In 0.2280 0.0000 0.6956
4 In 0.2720 0.5000 0.3044
5 In 0.7280 0.5000 0.6956
6 In 0.7720 0.0000 0.3044
7 Os 0.0000 0.5000 0.5000
8 Os 0.5000 0.0000 0.5000

(12)
VASP calculation (PBE) on a geometry-optimized CaIn2Os structure.

Values from the calculation:
Crystal system: orthorhombic
Density of states at the Fermi level (states/eV/cell): 2.684
Formation enthalpy at 0 K (kcal/mol of atoms): 6.2
Symmetry: Amm2

Cell lengths 4.5648, 3.6416, 10.9479 Å; angles 90.00, 90.00, 90.00 degrees
Sites, in units of the cell vectors:
1 Ca 0.0000 0.0000 0.0000
2 Ca 0.0000 0.5000 0.5000
3 In 0.0000 0.0000 0.2754
4 In 0.0000 0.5000 0.7754
5 In 0.5000 0.0000 0.6690
6 In 0.5000 0.5000 0.1690
7 Os 0.5000 0.0000 0.4028
8 Os 0.5000 0.5000 0.9028

| no. | V (Å³ per cell) | density (g cm⁻³) | final energy (eV/cell) |
| --- | --- | --- | --- |
| 1 | 306.2 | 7.5 | -49.135 |
| 2 | 104.5 | 6.1 | -17.290 |
| 3 | 83.6 | 9.1 | -17.594 |
| 4 | 146.0 | 12.2 | -48.809 |
| 5 | 61.6 | 9.3 | -14.955 |
| 6 | 353.9 | 7.2 | -68.033 |
| 7 | 389.4 | 7.8 | -66.366 |
| 8 | 178.8 | 7.2 | -34.148 |
| 9 | 197.9 | 7.7 | -36.230 |
| 10 | 77.8 | 11.4 | -24.825 |
| 11 | 178.4 | 8.6 | -36.321 |
| 12 | 182.0 | 8.4 | -35.275 |